#1
This record from the Alexandria database describes crystalline YSnIO2 at its relaxed geometry. The functional is PBE-GGA.

abc: 4.472 4.472 6.022
angles: 90.00 90.00 90.00
Space group P4/mmm (No. 123)
Asymmetric unit:
Y (0.000, 0.000, 0.000)
Sn (0.500, 0.500, 0.500)
I (0.000, 0.000, 0.500)
O (0.000, 0.500, 0.000)

Results
Its magnetic moment is 0.002 μB/cell.

=====

#2
This record from the Alexandria database describes crystalline YSnIO2 at its relaxed geometry. The functional is PBE-GGA.

abc: 4.258 4.258 5.987
angles: 90.00 90.00 90.00
Space group P4/mmm (No. 123)
Asymmetric unit:
Y (0.000, 0.000, 0.000)
Sn (0.500, 0.500, 0.500)
I (0.500, 0.500, 0.000)
O (0.000, 0.500, 0.500)

Results
Its magnetic moment is 0.000 μB/cell.

=====

Least stable of them? #2.

=====

#1
This record from the Alexandria database describes crystalline ZnSnI2O at its relaxed geometry. The functional is PBE-GGA.

abc: 6.072 6.072 4.036
angles: 90.00 90.00 90.00
Space group P4/mmm (No. 123)
Asymmetric unit:
Zn (0.000, 0.000, 0.000)
Sn (0.500, 0.500, 0.500)
I (0.000, 0.500, 0.500)
O (0.500, 0.500, 0.000)

Results
Its magnetic moment is 0.000 μB/cell.

=====

#2
This record from the Alexandria database describes crystalline ZnSnI2O at its relaxed geometry. The functional is PBE-GGA.

abc: 5.910 5.910 3.742
angles: 90.00 90.00 90.00
Space group P4/mmm (No. 123)
Asymmetric unit:
Zn (0.000, 0.000, 0.000)
Sn (0.500, 0.500, 0.500)
I (0.000, 0.500, 0.000)
O (0.000, 0.000, 0.500)

Results
Its magnetic moment is 0.266 μB/cell.

=====

Least stable of them? #1.

=====

#1
This record from the Alexandria database describes crystalline ZnSnIO2 at its relaxed geometry. The functional is PBE-GGA.

abc: 4.035 4.035 6.617
angles: 90.00 90.00 90.00
Space group P4/mmm (No. 123)
Asymmetric unit:
Zn (0.000, 0.000, 0.000)
Sn (0.500, 0.500, 0.500)
I (0.500, 0.500, 0.000)
O (0.000, 0.500, 0.500)

Results
Its magnetic moment is 0.000 μB/cell.

=====

#2
This record from the Alexandria database describes crystalline ZnSnIO2 at its relaxed geometry. The functional is PBE-GGA.

abc: 4.224 4.224 5.413
angles: 90.00 90.00 90.00
Space group P4/mmm (No. 123)
Asymmetric unit:
Zn (0.000, 0.000, 0.000)
Sn (0.500, 0.500, 0.500)
I (0.000, 0.000, 0.500)
O (0.000, 0.500, 0.000)

Results
Its magnetic moment is 0.000 μB/cell.

=====

Least stable of them? #2.

=====

#1
This record from the Alexandria database describes crystalline ZrSnIO2 at its relaxed geometry. The functional is PBE-GGA.

abc: 4.254 4.254 6.138
angles: 90.00 90.00 90.00
Space group P4/mmm (No. 123)
Asymmetric unit:
Zr (0.000, 0.000, 0.000)
Sn (0.500, 0.500, 0.500)
I (0.000, 0.000, 0.500)
O (0.000, 0.500, 0.000)

Results
Its magnetic moment is 0.766 μB/cell.

=====

#2
This record from the Alexandria database describes crystalline ZrSnIO2 at its relaxed geometry. The functional is PBE-GGA.

abc: 4.143 4.143 6.205
angles: 90.00 90.00 90.00
Space group P4/mmm (No. 123)
Asymmetric unit:
Zr (0.000, 0.000, 0.000)
Sn (0.500, 0.500, 0.000)
I (0.500, 0.500, 0.500)
O (0.000, 0.500, 0.500)

Results
Its magnetic moment is 0.000 μB/cell.

=====

#3
This record from the Alexandria database describes crystalline ZrSnIO2 at its relaxed geometry. The functional is PBE-GGA.

abc: 4.129 4.129 6.294
angles: 90.00 90.00 90.00
Space group P4/mmm (No. 123)
Asymmetric unit:
Zr (0.000, 0.000, 0.000)
Sn (0.500, 0.500, 0.500)
I (0.500, 0.500, 0.000)
O (0.000, 0.500, 0.500)

Results
Its magnetic moment is 1.751 μB/cell.

=====

Least stable of them? #2.